Entry 1:
Compound: Ho2Er3UN6
Source: Alexandria
Functional: PBE-GGA
Structure: optimized geometry

Summary:
calculated volume	14.2	Å³ per atom
total moment	0.82	μB per formula unit
SG	C2/m
formation energy (no corrections)	-39.64	kcal/mol of atoms

Cell lengths 5.939, 5.939, 5.934 Å; angles 99.59, 99.59, 119.99 degrees
Element x y z (fractional)
N (0.918, 0.601, 0.756)
N (0.236, 0.236, 0.759)
N (0.601, 0.918, 0.756)
N (0.399, 0.082, 0.244)
N (0.082, 0.399, 0.244)
N (0.764, 0.764, 0.241)
U (0.000, 0.000, 0.000)
Er (0.168, 0.832, 0.500)
Er (0.832, 0.168, 0.500)
Er (0.500, 0.500, 0.500)
Ho (0.666, 0.334, 0.000)
Ho (0.334, 0.666, 0.000)

Entry 2:
Compound: Ho2ErUN4
Source: Alexandria
Functional: PBE-GGA
Structure: optimized geometry

Summary:
calculated volume	14.4	Å³ per atom
total moment	1.52	μB per formula unit
SG	P2/m
formation energy (no corrections)	-38.17	kcal/mol of atoms

Cell lengths 3.438, 5.941, 5.945 Å; angles 109.00, 90.00, 90.00 degrees
Element x y z (fractional)
Er (0.500, 0.500, 0.000)
N (0.500, 0.757, 0.759)
N (0.000, 0.760, 0.238)
N (0.500, 0.243, 0.241)
N (0.000, 0.240, 0.762)
Ho (0.500, 0.000, 0.500)
Ho (0.000, 0.500, 0.500)
U (0.000, 0.000, 0.000)

Entry 3:
Compound: HoErW2N6
Source: Alexandria
Functional: PBE-GGA
Structure: optimized geometry

Summary:
calculated volume	15.5	Å³ per atom
total moment	0.00	μB per formula unit
SG	C2/c
formation energy (no corrections)	-23.53	kcal/mol of atoms

Cell lengths 6.264, 7.350, 7.350 Å; angles 81.21, 73.30, 73.30 degrees
Element x y z (fractional)
N (0.425, 0.342, 0.370)
N (0.925, 0.370, 0.342)
N (0.346, 0.218, 0.001)
N (0.337, 0.888, 0.373)
N (0.075, 0.630, 0.658)
N (0.663, 0.112, 0.627)
N (0.654, 0.782, 0.999)
N (0.154, 0.999, 0.782)
N (0.846, 0.001, 0.218)
N (0.575, 0.658, 0.630)
N (0.837, 0.373, 0.888)
N (0.163, 0.627, 0.112)
Er (0.250, 0.910, 0.090)
Er (0.750, 0.090, 0.910)
Ho (0.750, 0.713, 0.287)
Ho (0.250, 0.287, 0.713)
W (0.225, 0.380, 0.201)
W (0.775, 0.620, 0.799)
W (0.725, 0.201, 0.380)
W (0.275, 0.799, 0.620)

Entry 4:
Compound: Y2HoErN4
Source: Alexandria
Functional: PBE-GGA
Structure: optimized geometry

Summary:
calculated volume	14.6	Å³ per atom
total moment	0.00	μB per formula unit
SG	P2/m
formation energy (no corrections)	-39.85	kcal/mol of atoms

Cell lengths 3.459, 5.990, 5.990 Å; angles 109.45, 90.00, 90.00 degrees
Element x y z (fractional)
N (0.500, 0.752, 0.753)
N (0.000, 0.250, 0.753)
N (0.000, 0.750, 0.247)
N (0.500, 0.248, 0.247)
Y (0.000, 0.500, 0.500)
Y (0.500, 0.000, 0.500)
Er (0.000, 0.000, 0.000)
Ho (0.500, 0.500, 0.000)

Entry 5:
Compound: YHoEr2N4
Source: Alexandria
Functional: PBE-GGA
Structure: optimized geometry

Summary:
calculated volume	14.5	Å³ per atom
total moment	0.00	μB per formula unit
SG	P2/m
formation energy (no corrections)	-40.37	kcal/mol of atoms

Cell lengths 3.447, 5.968, 5.968 Å; angles 109.45, 90.00, 90.00 degrees
Element x y z (fractional)
Er (0.500, 0.000, 0.500)
Er (0.000, 0.500, 0.500)
N (0.500, 0.250, 0.252)
N (0.500, 0.750, 0.748)
N (0.000, 0.248, 0.747)
N (0.000, 0.752, 0.253)
Y (0.500, 0.500, 0.000)
Ho (0.000, 0.000, 0.000)

Entry 6:
Compound: YHo2ErN4
Source: Alexandria
Functional: PBE-GGA
Structure: optimized geometry

Summary:
calculated volume	14.5	Å³ per atom
total moment	0.00	μB per formula unit
SG	P2/m
formation energy (no corrections)	-40.15	kcal/mol of atoms

Cell lengths 3.452, 5.978, 5.978 Å; angles 109.45, 90.00, 90.00 degrees
Element x y z (fractional)
Ho (0.500, 0.000, 0.500)
Ho (0.000, 0.500, 0.500)
N (0.000, 0.752, 0.251)
N (0.500, 0.752, 0.750)
N (0.000, 0.248, 0.749)
N (0.500, 0.248, 0.250)
Y (0.500, 0.500, 0.000)
Er (0.000, 0.000, 0.000)

Entry 7:
Compound: HoEr2Zr3N6
Source: Alexandria
Functional: PBE-GGA
Structure: optimized geometry

Summary:
calculated volume	13.1	Å³ per atom
total moment	0.00	μB per formula unit
SG	C2/m
formation energy (no corrections)	-40.60	kcal/mol of atoms

Cell lengths 5.760, 5.760, 5.810 Å; angles 99.56, 99.56, 119.91 degrees
Element x y z (fractional)
N (0.088, 0.422, 0.263)
N (0.754, 0.754, 0.263)
N (0.246, 0.246, 0.737)
N (0.912, 0.578, 0.737)
N (0.422, 0.088, 0.263)
N (0.578, 0.912, 0.737)
Zr (0.167, 0.833, 0.500)
Zr (0.833, 0.167, 0.500)
Zr (0.500, 0.500, 0.500)
Er (0.667, 0.333, 0.000)
Er (0.333, 0.667, 0.000)
Ho (0.000, 0.000, 0.000)

Entry 8:
Compound: Ho2ErZr3N6
Source: Alexandria
Functional: PBE-GGA
Structure: optimized geometry

Summary:
calculated volume	13.2	Å³ per atom
total moment	0.00	μB per formula unit
SG	C2/m
formation energy (no corrections)	-40.46	kcal/mol of atoms

Cell lengths 5.765, 5.765, 5.817 Å; angles 99.55, 99.55, 119.91 degrees
Element x y z (fractional)
N (0.756, 0.756, 0.264)
N (0.088, 0.420, 0.264)
N (0.244, 0.244, 0.736)
N (0.912, 0.580, 0.736)
N (0.420, 0.088, 0.264)
N (0.580, 0.912, 0.736)
Er (0.000, 0.000, 0.000)
Ho (0.333, 0.667, 0.000)
Ho (0.667, 0.333, 0.000)
Zr (0.500, 0.500, 0.500)
Zr (0.834, 0.166, 0.500)
Zr (0.166, 0.834, 0.500)

Entry 9:
Compound: Ho2ErZrN4
Source: Alexandria
Functional: PBE-GGA
Structure: optimized geometry

Summary:
calculated volume	13.7	Å³ per atom
total moment	0.00	μB per formula unit
SG	P2/m
formation energy (no corrections)	-40.88	kcal/mol of atoms

Cell lengths 3.381, 5.863, 5.866 Å; angles 109.28, 90.00, 90.00 degrees
Element x y z (fractional)
Ho (0.000, 0.500, 0.500)
Ho (0.500, 0.000, 0.500)
Er (0.500, 0.500, 0.000)
N (0.500, 0.239, 0.238)
N (0.000, 0.244, 0.758)
N (0.000, 0.756, 0.242)
N (0.500, 0.761, 0.762)
Zr (0.000, 0.000, 0.000)

Entry 10:
Compound: NaHoEr
Source: Alexandria
Functional: PBE-GGA
Structure: optimized geometry

Summary:
relative energy among the computed polymorphs	0.5	meV/atom
calculated volume	32.5	Å³ per atom
total moment	0.00	μB per formula unit
SG	P1
DFT formation energy	0.5	eV/f.u.

Cell lengths 5.641, 6.675, 11.326 Å; angles 70.09, 59.93, 32.42 degrees
Element x y z (fractional)
Na (0.202, 0.043, 0.869)
Na (0.036, 0.594, 0.985)
Er (0.063, 0.919, 0.630)
Er (0.170, 0.723, 0.224)
Ho (0.018, 0.272, 0.326)
Ho (0.216, 0.370, 0.527)

Entry 11:
Compound: NaHo2Er
Source: Alexandria
Functional: PBE-GGA
Structure: optimized geometry

Summary:
relative energy among the computed polymorphs	0.0	meV/atom
calculated volume	32.2	Å³ per atom
total moment	0.00	μB per formula unit
SG	P4/mmm
DFT formation energy	0.5	eV/f.u.

Cell lengths 3.509, 3.509, 10.466 Å; angles 90.00, 90.00, 90.00 degrees
Element x y z (fractional)
Ho (0.000, 0.000, 0.772)
Ho (0.000, 0.000, 0.228)
Er (0.500, 0.500, 0.000)
Na (0.500, 0.500, 0.500)

Entry 12:
Compound: NaHoEr
Source: Alexandria
Functional: PBE-GGA
Structure: optimized geometry

Summary:
relative energy among the computed polymorphs	326.5	meV/atom
calculated volume	35.8	Å³ per atom
total moment	0.00	μB per formula unit
SG	P4/nmm
DFT formation energy	1.4	eV/f.u.

Cell lengths 4.396, 4.396, 11.122 Å; angles 90.00, 90.00, 90.00 degrees
Element x y z (fractional)
Er (0.500, 0.500, 0.000)
Er (0.000, 0.000, 0.000)
Ho (0.500, 0.000, 0.239)
Ho (0.000, 0.500, 0.761)
Na (0.000, 0.500, 0.413)
Na (0.500, 0.000, 0.587)

Entry 13:
Compound: NaHoEr
Source: Alexandria
Functional: PBE-GGA
Structure: optimized geometry

Summary:
relative energy among the computed polymorphs	21.6	meV/atom
calculated volume	32.3	Å³ per atom
total moment	0.00	μB per formula unit
SG	I4mm
DFT formation energy	0.5	eV/f.u.

Cell lengths 3.463, 3.463, 8.446 Å; angles 101.83, 101.83, 90.00 degrees
Element x y z (fractional)
Ho (0.323, 0.323, 0.646)
Er (0.677, 0.677, 0.353)
Na (0.000, 0.000, 0.000)

Entry 14:
Compound: NaHoEr2
Source: Alexandria
Functional: PBE-GGA
Structure: optimized geometry

Summary:
relative energy among the computed polymorphs	30.2	meV/atom
calculated volume	32.8	Å³ per atom
total moment	0.00	μB per formula unit
SG	R-3m
DFT formation energy	0.7	eV/f.u.

Cell lengths 3.467, 3.467, 12.750 Å; angles 82.19, 82.19, 60.00 degrees
Element x y z (fractional)
Er (0.908, 0.908, 0.277)
Er (0.092, 0.092, 0.723)
Na (0.000, 0.000, 0.000)
Ho (0.500, 0.500, 0.500)

Entry 15:
Compound: NaHo2Er
Source: Alexandria
Functional: PBE-GGA
Structure: optimized geometry

Summary:
relative energy among the computed polymorphs	27.1	meV/atom
calculated volume	32.9	Å³ per atom
total moment	0.00	μB per formula unit
SG	R-3m
DFT formation energy	0.6	eV/f.u.

Cell lengths 3.473, 3.473, 12.751 Å; angles 82.17, 82.17, 60.00 degrees
Element x y z (fractional)
Na (0.000, 0.000, 0.000)
Er (0.500, 0.500, 0.500)
Ho (0.907, 0.907, 0.278)
Ho (0.093, 0.093, 0.722)

Entry 16:
Compound: NaHoEr2
Source: Alexandria
Functional: PBE-GGA
Structure: optimized geometry

Summary:
relative energy among the computed polymorphs	0.0	meV/atom
calculated volume	32.2	Å³ per atom
total moment	0.00	μB per formula unit
SG	P4/mmm
DFT formation energy	0.6	eV/f.u.

Cell lengths 3.514, 3.514, 10.419 Å; angles 90.00, 90.00, 90.00 degrees
Element x y z (fractional)
Er (0.000, 0.000, 0.772)
Er (0.000, 0.000, 0.228)
Ho (0.500, 0.500, 0.000)
Na (0.500, 0.500, 0.500)

Entry 17:
Compound: NaHoEr
Source: Alexandria
Functional: PBE-GGA
Structure: optimized geometry

Summary:
relative energy among the computed polymorphs	0.0	meV/atom
calculated volume	32.2	Å³ per atom
total moment	0.00	μB per formula unit
SG	P3m1
DFT formation energy	0.5	eV/f.u.

Cell lengths 3.500, 3.500, 9.112 Å; angles 90.00, 90.00, 120.00 degrees
Element x y z (fractional)
Na (0.000, 0.000, 0.000)
Ho (0.333, 0.667, 0.649)
Er (0.667, 0.333, 0.350)

Entry 18:
Compound: Na3Ho2ErO6
Source: Alexandria
Functional: PBE-GGA
Structure: optimized geometry

Summary:
calculated volume	14.0	Å³ per atom
total moment	0.00	μB per formula unit
SG	C2/m
formation energy (no corrections)	-65.22	kcal/mol of atoms

Cell lengths 5.891, 5.891, 5.910 Å; angles 99.57, 99.57, 120.00 degrees
Element x y z (fractional)
O (0.738, 0.738, 0.210)
O (0.402, 0.070, 0.210)
O (0.070, 0.402, 0.210)
O (0.930, 0.598, 0.790)
O (0.598, 0.930, 0.790)
O (0.262, 0.262, 0.790)
Na (0.500, 0.500, 0.500)
Na (0.166, 0.834, 0.500)
Na (0.834, 0.166, 0.500)
Ho (0.667, 0.333, 0.000)
Ho (0.333, 0.667, 0.000)
Er (0.000, 0.000, 0.000)

Entry 19:
Compound: Na3HoEr2O6
Source: Alexandria
Functional: PBE-GGA
Structure: optimized geometry

Summary:
calculated volume	13.9	Å³ per atom
total moment	0.00	μB per formula unit
SG	C2/m
formation energy (no corrections)	-65.37	kcal/mol of atoms

Cell lengths 5.879, 5.879, 5.908 Å; angles 99.55, 99.55, 120.00 degrees
Element x y z (fractional)
Er (0.667, 0.333, 0.000)
Er (0.333, 0.667, 0.000)
Na (0.500, 0.500, 0.500)
Na (0.167, 0.833, 0.500)
Na (0.833, 0.167, 0.500)
O (0.735, 0.735, 0.210)
O (0.596, 0.930, 0.790)
O (0.404, 0.070, 0.210)
O (0.930, 0.596, 0.790)
O (0.265, 0.265, 0.790)
O (0.070, 0.404, 0.210)
Ho (0.000, 0.000, 0.000)

Entry 20:
Compound: Na4HoEr3S8
Source: Alexandria
Functional: PBE-GGA
Structure: optimized geometry

Summary:
calculated volume	22.6	Å³ per atom
total moment	0.00	μB per formula unit
SG	R-3m
formation energy (no corrections)	-42.76	kcal/mol of atoms

Cell lengths 7.907, 8.091, 7.907 Å; angles 119.27, 120.00, 90.00 degrees
Element x y z (fractional)
S (0.242, 0.725, 0.983)
S (0.259, 0.275, 0.017)
S (0.758, 0.275, 0.017)
S (0.258, 0.275, 0.517)
S (0.242, 0.725, 0.484)
S (0.742, 0.725, 0.483)
S (0.758, 0.275, 0.516)
S (0.741, 0.725, 0.983)
Er (0.500, 0.500, 0.000)
Er (0.000, 0.500, 0.500)
Er (0.500, 0.500, 0.500)
Na (0.000, 0.000, 0.000)
Na (0.000, 0.000, 0.500)
Na (0.500, 0.000, 0.500)
Na (0.500, 0.000, 0.000)
Ho (0.000, 0.500, 0.000)